No. 1
# PBE Dy2PuO, relaxed
data_Dy2PuO
_chemical_formula_sum 'Dy2 Pu1 O1'
_cell_length_a 3.1022
_cell_length_b 3.1022
_cell_length_c 8.6855
_cell_angle_alpha 90.00
_cell_angle_beta 90.00
_cell_angle_gamma 90.00
_symmetry_space_group_name_H-M 'P 4/m m m'
_symmetry_Int_Tables_number 123
_symmetry_space_group_name_Hall '-P 4 2'
loop_
_atom_site_label
_atom_site_type_symbol
_atom_site_fract_x
_atom_site_fract_y
_atom_site_fract_z
_atom_site_occupancy
Dy1 Dy 0.0000 0.0000 0.1794 1
Pu1 Pu 0.5000 0.5000 0.5000 1
O1 O 0.5000 0.5000 0.0000 1
# energy above the most stable polymorph in this dataset = 475 meV per atom
# formation energy (no corrections) = -306 kJ/mol of formula units


No. 2
# PBE BeCrCu2Si, relaxed
data_BeCrCu2Si
_chemical_formula_sum 'Be1 Cr1 Cu2 Si1'
_cell_length_a 4.2903
_cell_length_b 4.2903
_cell_length_c 4.0347
_cell_angle_alpha 90.00
_cell_angle_beta 90.00
_cell_angle_gamma 90.00
_symmetry_space_group_name_H-M 'P 4/m m m'
_symmetry_Int_Tables_number 123
_symmetry_space_group_name_Hall '-P 4 2'
loop_
_atom_site_label
_atom_site_type_symbol
_atom_site_fract_x
_atom_site_fract_y
_atom_site_fract_z
_atom_site_occupancy
Be1 Be 0.0000 0.0000 0.0000 1
Cr1 Cr 0.5000 0.5000 0.0000 1
Cu1 Cu 0.0000 0.5000 0.5000 1
Si1 Si 0.0000 0.0000 0.5000 1
# formation energy (no corrections) = 517 kJ/mol of formula units


No. 3
# PBE MgReTe2, relaxed
data_MgReTe2
_chemical_formula_sum 'Mg1 Re1 Te2'
_cell_length_a 3.6127
_cell_length_b 4.2663
_cell_length_c 6.6288
_cell_angle_alpha 90.00
_cell_angle_beta 90.00
_cell_angle_gamma 90.00
_symmetry_space_group_name_H-M 'P m m 2'
_symmetry_Int_Tables_number 25
_symmetry_space_group_name_Hall 'P 2 -2'
loop_
_atom_site_label
_atom_site_type_symbol
_atom_site_fract_x
_atom_site_fract_y
_atom_site_fract_z
_atom_site_occupancy
Mg1 Mg 0.0000 0.0000 0.0000 1
Re1 Re 0.5000 0.5000 0.9508 1
Te1 Te 0.0000 0.5000 0.2609 1
Te2 Te 0.5000 0.0000 0.6779 1
# formation energy (no corrections) = 97 kJ/mol of formula units


No. 4
# PBE GaSiRh3, relaxed
data_GaSiRh3
_chemical_formula_sum 'Ga8 Si8 Rh24'
_cell_length_a 11.3976
_cell_length_b 8.8541
_cell_length_c 6.0527
_cell_angle_alpha 90.00
_cell_angle_beta 90.00
_cell_angle_gamma 90.00
_symmetry_space_group_name_H-M 'C m c m'
_symmetry_Int_Tables_number 63
_symmetry_space_group_name_Hall '-C 2c 2'
loop_
_atom_site_label
_atom_site_type_symbol
_atom_site_fract_x
_atom_site_fract_y
_atom_site_fract_z
_atom_site_occupancy
Ga1 Ga 0.0000 0.0044 0.2500 1
Ga2 Ga 0.0000 0.3332 0.7500 1
Si1 Si 0.2167 0.3471 0.2500 1
Rh1 Rh 0.1227 0.5000 0.0000 1
Rh2 Rh 0.1311 0.1698 0.0036 1
# energy above the most stable polymorph in this dataset = 0 meV per atom
# formation energy (no corrections) = -272 kJ/mol of formula units


No. 5
# PBE TaIn2Ag, relaxed
data_TaIn2Ag
_chemical_formula_sum 'Ta4 In8 Ag4'
_cell_length_a 6.9318
_cell_length_b 6.9318
_cell_length_c 6.9318
_cell_angle_alpha 90.00
_cell_angle_beta 90.00
_cell_angle_gamma 90.00
_symmetry_space_group_name_H-M 'F -4 3 m'
_symmetry_Int_Tables_number 216
_symmetry_space_group_name_Hall 'F -4 2 3'
loop_
_atom_site_label
_atom_site_type_symbol
_atom_site_fract_x
_atom_site_fract_y
_atom_site_fract_z
_atom_site_occupancy
Ta1 Ta 0.0000 0.0000 0.0000 1
In1 In 0.0000 0.0000 0.5000 1
In2 In 0.2500 0.2500 0.2500 1
Ag1 Ag 0.2500 0.2500 0.7500 1
# energy above the most stable polymorph in this dataset = 451 meV per atom
# formation energy = 2.4 eV per formula unit


No. 6
# PBE CaY2InC, relaxed
data_CaY2InC
_chemical_formula_sum 'Ca1 Y2 In1 C1'
_cell_length_a 4.9311
_cell_length_b 4.9311
_cell_length_c 5.0691
_cell_angle_alpha 90.00
_cell_angle_beta 90.00
_cell_angle_gamma 90.00
_symmetry_space_group_name_H-M 'P 4/m m m'
_symmetry_Int_Tables_number 123
_symmetry_space_group_name_Hall '-P 4 2'
loop_
_atom_site_label
_atom_site_type_symbol
_atom_site_fract_x
_atom_site_fract_y
_atom_site_fract_z
_atom_site_occupancy
Ca1 Ca 0.0000 0.0000 0.0000 1
Y1 Y 0.0000 0.5000 0.5000 1
In1 In 0.5000 0.5000 0.0000 1
C1 C 0.0000 0.0000 0.5000 1
# formation energy = -1.7 eV per formula unit


No. 7
# PBE Be2CrAg, relaxed
data_Be2CrAg
_chemical_formula_sum 'Be6 Cr3 Ag3'
_cell_length_a 2.6313
_cell_length_b 2.6313
_cell_length_c 24.0500
_cell_angle_alpha 90.00
_cell_angle_beta 90.00
_cell_angle_gamma 120.00
_symmetry_space_group_name_H-M 'R -3 m'
_symmetry_Int_Tables_number 166
_symmetry_space_group_name_Hall '-R 3 2"'
loop_
_atom_site_label
_atom_site_type_symbol
_atom_site_fract_x
_atom_site_fract_y
_atom_site_fract_z
_atom_site_occupancy
Be1 Be 0.0000 0.0000 0.2447 1
Cr1 Cr 0.0000 0.0000 0.5000 1
Ag1 Ag 0.0000 0.0000 0.0000 1
# energy above the most stable polymorph in this dataset = 158 meV per atom
# formation energy = 1.5 eV per formula unit


No. 8
# PBE La3ThIn2, relaxed
data_La3ThIn2
_chemical_formula_sum 'La12 Th4 In8'
_cell_length_a 17.7647
_cell_length_b 6.9489
_cell_length_c 6.3062
_cell_angle_alpha 90.00
_cell_angle_beta 104.52
_cell_angle_gamma 90.00
_symmetry_space_group_name_H-M 'C 1 2/c 1'
_symmetry_Int_Tables_number 15
_symmetry_space_group_name_Hall '-C 2yc'
loop_
_atom_site_label
_atom_site_type_symbol
_atom_site_fract_x
_atom_site_fract_y
_atom_site_fract_z
_atom_site_occupancy
La1 La 0.0000 0.1150 0.2500 1
La2 La 0.1751 0.3782 0.5686 1
Th1 Th 0.0000 0.3646 0.7500 1
In1 In 0.1623 0.1248 0.0353 1
# energy above the most stable polymorph in this dataset = 61 meV per atom
# formation energy = -1.6 eV per formula unit


No. 9
# PBE YTe2Mo, relaxed
data_YTe2Mo
_chemical_formula_sum 'Y1 Te2 Mo1'
_cell_length_a 3.7798
_cell_length_b 4.3677
_cell_length_c 6.0440
_cell_angle_alpha 90.00
_cell_angle_beta 97.48
_cell_angle_gamma 90.00
_symmetry_space_group_name_H-M 'P 1 2/m 1'
_symmetry_Int_Tables_number 10
_symmetry_space_group_name_Hall '-P 2y'
loop_
_atom_site_label
_atom_site_type_symbol
_atom_site_fract_x
_atom_site_fract_y
_atom_site_fract_z
_atom_site_occupancy
Y1 Y 0.0000 0.0000 0.0000 1
Te1 Te 0.3524 0.5000 0.7354 1
Mo1 Mo 0.5000 0.0000 0.5000 1
# energy above the most stable polymorph in this dataset = 255 meV per atom
# formation energy (no corrections) = -50 kJ/mol of formula units


No. 10
# PBE Ti2Al2Pd3, relaxed
data_Ti2Al2Pd3
_chemical_formula_sum 'Ti2 Al2 Pd3'
_cell_length_a 4.5802
_cell_length_b 4.9021
_cell_length_c 5.4102
_cell_angle_alpha 98.72
_cell_angle_beta 114.76
_cell_angle_gamma 90.18
_symmetry_space_group_name_H-M 'P -1'
_symmetry_Int_Tables_number 2
_symmetry_space_group_name_Hall '-P 1'
loop_
_atom_site_label
_atom_site_type_symbol
_atom_site_fract_x
_atom_site_fract_y
_atom_site_fract_z
_atom_site_occupancy
Ti1 Ti 0.1431 0.0884 0.2866 1
Al1 Al 0.4386 0.2252 0.8766 1
Pd1 Pd 0.0000 0.5000 0.0000 1
Pd2 Pd 0.2871 0.6658 0.5738 1
# energy above the most stable polymorph in this dataset = 0 meV per atom
# formation energy = -4.2 eV per formula unit


No. 11
# PBE Zn2CdTc, relaxed
data_Zn2CdTc
_chemical_formula_sum 'Zn2 Cd1 Tc1'
_cell_length_a 2.9992
_cell_length_b 2.9992
_cell_length_c 7.2273
_cell_angle_alpha 90.00
_cell_angle_beta 90.00
_cell_angle_gamma 90.00
_symmetry_space_group_name_H-M 'P 4 m m'
_symmetry_Int_Tables_number 99
_symmetry_space_group_name_Hall 'P 4 -2'
loop_
_atom_site_label
_atom_site_type_symbol
_atom_site_fract_x
_atom_site_fract_y
_atom_site_fract_z
_atom_site_occupancy
Zn1 Zn 0.0000 0.0000 0.0000 1
Zn2 Zn 0.5000 0.5000 0.2189 1
Cd1 Cd 0.0000 0.0000 0.4987 1
Tc1 Tc 0.5000 0.5000 0.7780 1
# formation energy = 1.1 eV per formula unit


No. 12
# PBE Pm4Nd15Tm, relaxed
data_Pm4Nd15Tm
_chemical_formula_sum 'Pm4 Nd15 Tm1'
_cell_length_a 5.1896
_cell_length_b 5.1896
_cell_length_c 25.8699
_cell_angle_alpha 90.00
_cell_angle_beta 90.00
_cell_angle_gamma 90.00
_symmetry_space_group_name_H-M 'P 4/m m m'
_symmetry_Int_Tables_number 123
_symmetry_space_group_name_Hall '-P 4 2'
loop_
_atom_site_label
_atom_site_type_symbol
_atom_site_fract_x
_atom_site_fract_y
_atom_site_fract_z
_atom_site_occupancy
Pm1 Pm 0.0000 0.0000 0.1005 1
Pm2 Pm 0.0000 0.0000 0.3013 1
Nd1 Nd 0.0000 0.5000 0.0000 1
Nd2 Nd 0.0000 0.5000 0.2009 1
Nd3 Nd 0.0000 0.5000 0.4016 1
Nd4 Nd 0.5000 0.5000 0.1004 1
Nd5 Nd 0.5000 0.5000 0.3015 1
Nd6 Nd 0.5000 0.5000 0.5000 1
Tm1 Tm 0.0000 0.0000 0.5000 1
# formation energy = 0.3 eV per formula unit


Total moment? In order: 5.85, 0.10, 0.00, 0.00, 7.43, 0.00, 0.00, 0.00, 0.00, 0.00, 1.57, 0.00 μB per cell.